DFT (PBE-GGA) results for a relaxed Mg4Rh5 crystal.

Cell: 7.730 7.730 5.307 Å, 90.00 90.00 120.00°
Positions (direct):
Mg 0.000 0.000 0.000
Mg 0.000 0.000 0.500
Mg 0.000 0.367 0.250
Mg 0.633 0.633 0.250
Mg 0.367 0.000 0.250
Mg 0.000 0.633 0.750
Mg 0.367 0.367 0.750
Mg 0.633 0.000 0.750
Rh 0.000 0.695 0.250
Rh 0.305 0.305 0.250
Rh 0.695 0.000 0.250
Rh 0.000 0.305 0.750
Rh 0.695 0.695 0.750
Rh 0.305 0.000 0.750
Rh 0.667 0.333 0.000
Rh 0.333 0.667 0.500
Rh 0.333 0.667 0.000
Rh 0.667 0.333 0.500

Computed properties:
**Uncorrected energy**: -91.4 eV for the cell shown
**Relative energy among the computed polymorphs**: 0 kJ/mol of formula units
**Spin magnetization**: 0.00 μB/f.u.
**Calculated volume**: 15.3 A^3/atom